The following is a PBE calculation of NbBi4ClO8 after structural relaxation, from the Open Quantum Materials Database.

The density is 8.30 g cm⁻³. Its total energy is -6.435 eV per atom. Its crystal system is orthorhombic. The space group is Pna2_1, No. 33.

abc: 28.454 5.562 5.523
angles: 90.00 90.00 90.00
Element x y z (fractional)
1 Nb 0.250 0.245 0.000
2 Nb 0.250 0.745 0.500
3 Nb 0.750 0.255 0.000
4 Nb 0.750 0.755 0.500
5 Bi 0.066 0.236 0.006
6 Bi 0.066 0.736 0.489
7 Bi 0.157 0.193 0.516
8 Bi 0.157 0.694 0.980
9 Bi 0.343 0.194 0.480
10 Bi 0.343 0.693 0.016
11 Bi 0.434 0.236 0.989
12 Bi 0.434 0.736 0.506
13 Bi 0.566 0.264 0.006
14 Bi 0.566 0.764 0.489
15 Bi 0.657 0.307 0.516
16 Bi 0.657 0.806 0.980
17 Bi 0.843 0.306 0.480
18 Bi 0.843 0.807 0.016
19 Bi 0.934 0.264 0.989
20 Bi 0.934 0.764 0.506
21 Cl 0.000 0.250 0.497
22 Cl 0.000 0.750 0.997
23 Cl 0.500 0.250 0.497
24 Cl 0.500 0.750 0.997
25 O 0.103 0.499 0.749
26 O 0.103 0.999 0.747
27 O 0.106 0.486 0.246
28 O 0.106 0.987 0.249
29 O 0.184 0.311 0.900
30 O 0.184 0.812 0.598
31 O 0.233 0.035 0.255
32 O 0.233 0.533 0.249
33 O 0.267 0.033 0.749
34 O 0.267 0.535 0.755
35 O 0.316 0.312 0.098
36 O 0.316 0.811 0.400
37 O 0.394 0.487 0.749
38 O 0.394 0.986 0.746
39 O 0.397 0.499 0.247
40 O 0.397 0.999 0.249
41 O 0.603 0.001 0.749
42 O 0.603 0.501 0.747
43 O 0.606 0.014 0.246
44 O 0.606 0.513 0.249
45 O 0.684 0.189 0.900
46 O 0.684 0.688 0.598
47 O 0.733 0.465 0.255
48 O 0.733 0.967 0.249
49 O 0.767 0.467 0.749
50 O 0.767 0.965 0.755
51 O 0.816 0.188 0.098
52 O 0.816 0.689 0.400
53 O 0.894 0.013 0.749
54 O 0.894 0.514 0.746
55 O 0.897 0.001 0.247
56 O 0.897 0.501 0.249